Density functional theory data (GGA-PBE) for a geometry-optimized Tm3ScCu4 structure.

Its energy relative to the elements is -0.280 eV/atom.

```
Tm3ScCu4
1.0
3.3570 0.0000 0.0000
0.0000 4.8008 0.0000
0.0000 0.0000 9.5771
Tm Sc Cu
3 1 4
direct
0.0000 0.0000 0.0000 Tm
0.0000 0.5000 0.2535 Tm
0.0000 0.5000 0.7465 Tm
0.0000 0.0000 0.5000 Sc
0.5000 0.0000 0.2598 Cu
0.5000 0.0000 0.7402 Cu
0.5000 0.5000 0.0000 Cu
0.5000 0.5000 0.5000 Cu
```

Density functional theory data (GGA-PBE) for a geometry-optimized LiSb2Cl structure.

The distance to the lowest polymorph of the same formula is 137.4 meV/atom. The calculation puts the uncorrected formation energy at -0.679 eV/atom.

```
LiSb2Cl
1.0
3.6147 0.0000 0.0000
0.0000 3.5880 0.0000
-1.7780 0.0000 9.3294
Li Sb Cl
1 2 1
direct
0.0000 0.0000 0.0000 Li
0.2015 0.0000 0.3740 Sb
0.7858 0.5000 0.5451 Sb
0.4977 0.5000 0.9928 Cl
```

Question: Which formula does entry 1 have?
Answer: Tm3ScCu4